VASP calculation (SCAN) on a crystal of AgP2Ir relaxed with PBEsol.

The value obtained for the energy above the most stable polymorph in this dataset is 0.0 meV/atom. Its space group is P4mm (99). The calculation puts the formation enthalpy at 0 K at 248 meV/atom. As for the total energy: -30.57 eV/atom. The total magnetization is 0.00 μB/f.u.

a b c (Å): 2.8273 2.8273 7.7163
angles (deg): 90.00 90.00 90.00
Fractional positions:
Ag 0.0000 0.0000 0.5021
Ir 0.5000 0.5000 0.7855
P 0.0000 0.0000 0.9528
P 0.5000 0.5000 0.2596